{
  "formula": "Na4Mn3VS8",
  "functional": "PBE-GGA",
  "state": "relaxed",
  "e_tot_ev_per_fu": -88.7,
  "formation_energy_uncorrected_ev_per_fu": -13.8,
  "vol_a3_per_cell": 296.56,
  "lattice": [[7.2374, 0.0000, 0.0000], [0.0000, 7.7505, 0.3487], [-3.6187, -3.6191, 5.1240]],
  "species": ["S", "S", "S", "S", "S", "S", "S", "S", "Na", "Na", "Na", "Na", "Mn", "Mn", "Mn", "V"],
  "fractional_positions": [[0.2317, 0.7027, 0.9712], [0.7683, 0.2973, 0.0288], [0.7395, 0.7027, 0.9712], [0.2316, 0.7027, 0.4632], [0.2605, 0.2973, 0.0288], [0.7324, 0.6973, 0.4649], [0.7684, 0.2973, 0.5368], [0.2676, 0.3027, 0.5351], [0.0000, 0.0000, 0.0000], [0.0000, 0.0000, 0.5000], [0.5000, 0.0000, 0.5000], [0.5000, 0.0000, 0.0000], [0.5000, 0.5000, 0.0000], [0.5000, 0.5000, 0.5000], [0.0000, 0.5000, 0.5000], [0.0000, 0.5000, 0.0000]]
}



{
  "formula": "Li2CoRh",
  "functional": "PBE-GGA",
  "state": "relaxed",
  "de_polymorph_kcal_per_mol_atoms": 0.00,
  "e_tot_ev_per_fu": -18.4,
  "vol_a3_per_cell": 50.29,
  "lattice": [[4.6887, 0.0105, 0.0277], [3.9410, 2.5403, 0.0277], [0.9614, 0.2842, 4.2434]],
  "species": ["Li", "Li", "Co", "Rh"],
  "fractional_positions": [[0.5022, 0.5022, 0.5005], [0.9978, 0.9978, 0.9995], [0.2500, 0.2500, 0.2500], [0.7500, 0.7500, 0.7500]]
}